(1)
Compound: Sc2AuCl
Source: Alexandria
Functional: GGA-PBE
Structure: optimized geometry

Structure (CIF):
```
data_Sc2AuCl
_chemical_formula_sum 'Sc4 Au2 Cl2'
_cell_length_a 7.934
_cell_length_b 3.474
_cell_length_c 7.999
_cell_angle_alpha 90.00
_cell_angle_beta 119.32
_cell_angle_gamma 90.00
_space_group_name_H-M_alt 'C 1 2/m 1'
_space_group_IT_number 12
loop_
_space_group_symop_operation_xyz
'x,y,z'
'-x,-y,-z'
'-x,y,-z'
'x,-y,z'
'x+1/2,y+1/2,z'
'-x+1/2,-y+1/2,-z'
'-x+1/2,y+1/2,-z'
'x+1/2,-y+1/2,z'
loop_
_atom_site_label
_atom_site_fract_x
_atom_site_fract_y
_atom_site_fract_z
_atom_site_occupancy
Sc1 0.105 0.000 0.300 1
Au1 0.000 0.500 0.500 1
Cl1 0.000 0.500 0.000 1
```

Total DFT energy (no corrections): -21.6 eV per formula unit
Raw formation energy: -0.942 eV per atom

(2)
Compound: CsBeV2Pb
Source: Alexandria
Functional: GGA-PBE
Structure: optimized geometry

Structure (CIF):
```
data_CsBeV2Pb
_chemical_formula_sum 'Cs1 Be1 V2 Pb1'
_cell_length_a 5.308
_cell_length_b 5.308
_cell_length_c 4.656
_cell_angle_alpha 90.00
_cell_angle_beta 90.00
_cell_angle_gamma 90.00
_space_group_name_H-M_alt 'P 4/m m m'
_space_group_IT_number 123
_space_group_name_Hall '-P 4 2'
loop_
_atom_site_label
_atom_site_fract_x
_atom_site_fract_y
_atom_site_fract_z
_atom_site_occupancy
Cs1 0.000 0.000 0.000 1
Be1 0.500 0.500 0.000 1
V1 0.000 0.500 0.500 1
Pb1 0.500 0.500 0.500 1
```

DFT formation energy: 1.4667 eV/atom
Total DFT energy (no corrections): -19.2 eV per formula unit

(3)
Compound: KMoI2N
Source: Alexandria
Functional: GGA-PBE
Structure: optimized geometry

Structure (CIF):
```
data_KMoI2N
_chemical_formula_sum 'K1 Mo1 I2 N1'
_cell_length_a 5.942
_cell_length_b 5.942
_cell_length_c 3.910
_cell_angle_alpha 90.00
_cell_angle_beta 90.00
_cell_angle_gamma 90.00
_space_group_name_H-M_alt 'P 4/m m m'
_space_group_IT_number 123
_space_group_name_Hall '-P 4 2'
loop_
_atom_site_label
_atom_site_fract_x
_atom_site_fract_y
_atom_site_fract_z
_atom_site_occupancy
K1 0.000 0.000 0.000 1
Mo1 0.500 0.500 0.500 1
I1 0.000 0.500 0.500 1
N1 0.500 0.500 0.000 1
```

Total DFT energy (no corrections): -24.7 eV per formula unit
Raw formation energy: -0.268 eV per atom

(4)
Compound: SiTc2Mo
Source: Alexandria
Functional: GGA-PBE
Structure: optimized geometry

Structure (CIF):
```
data_SiTc2Mo
_chemical_formula_sum 'Si3 Tc6 Mo3'
_cell_length_a 2.8111
_cell_length_b 2.8111
_cell_length_c 25.5149
_cell_angle_alpha 90.00
_cell_angle_beta 90.00
_cell_angle_gamma 120.00
_space_group_name_H-M_alt 'R 3 m'
_space_group_IT_number 160
_space_group_name_Hall 'R 3 -2"'
loop_
_atom_site_label
_atom_site_fract_x
_atom_site_fract_y
_atom_site_fract_z
_atom_site_occupancy
Si1 0.0000 0.0000 0.0000 1
Tc1 0.0000 0.0000 0.2546 1
Tc2 0.0000 0.0000 0.5034 1
Mo1 0.0000 0.0000 0.7496 1
```

Total DFT energy (no corrections): -37.0 eV per formula unit
Raw formation energy: 0.009 eV per atom